First-principles (PBEsol) data for a relaxed CaTi2MnO6 crystal, as listed in Alexandria via LeMat-Bulk.

The space group is P4_2mc (No. 105) and the conventional cell measures 7.4783, 7.4783 and 7.5751 Å, with angles of 90.00, 90.00 and 90.00 degrees. Symmetry generates all atoms from Ca at (0.0000, 0.0000, 0.0000), Ca at (0.5000, 0.5000, 0.0543), Ti at (0.2457, 0.2567, 0.2851), Mn at (0.0000, 0.5000, 0.0233), Mn at (0.0000, 0.5000, 0.5726), O at (0.0000, 0.1918, 0.2385), O at (0.0000, 0.2990, 0.8396), O at (0.1929, 0.3076, 0.5235), O at (0.2058, 0.5000, 0.1992) and O at (0.3081, 0.5000, 0.8090).

Its raw formation energy is -267.96 kJ per mole of atoms. The value obtained for the magnetic moment is 5.0 μB/f.u. For the theoretical density, the calculation gives 4.50 g cm⁻³. The calculated total energy comes out at -0.6454 Ry per atom. For the density of states at the Fermi level, the calculation gives 2.669 states/eV/cell.